# 1
{"formula": "Ho4SiI5", "functional": "PBE", "state": "relaxed", "de_polymorph_mev_per_atom": 0, "e_form_raw_mev_per_atom": -1144, "dos_ef_per_ev_fu": 3.77, "final_energy_ev_per_atom": -4.2923, "density_g_cm3": 6.473, "lattice_angstrom": [[9.512, -2.086, 0.000], [9.512, 2.086, 0.000], [-1.914, 0.000, 8.549]], "species": ["Ho", "Ho", "Ho", "Ho", "Si", "I", "I", "I", "I", "I"], "frac_coords": [[0.000, 0.000, 0.208], [0.000, 0.000, 0.792], [0.355, 0.355, 0.927], [0.645, 0.645, 0.073], [0.500, 0.500, 0.000], [0.166, 0.166, 0.336], [0.172, 0.172, 0.829], [0.500, 0.500, 0.500], [0.828, 0.828, 0.171], [0.834, 0.834, 0.664]]}



# 2
{"formula": "Ho4SiI5", "functional": "PBE", "state": "relaxed", "de_polymorph_mev_per_atom": 27, "e_form_raw_mev_per_atom": -1117, "dos_ef_per_ev_fu": 4.05, "final_energy_ev_per_atom": -4.2650, "density_g_cm3": 5.737, "lattice_angstrom": [[10.563, -2.081, 0.000], [10.563, 2.081, 0.000], [-0.048, 0.000, 8.705]], "species": ["Ho", "Ho", "Ho", "Ho", "Si", "I", "I", "I", "I", "I"], "frac_coords": [[0.000, 0.000, 0.209], [0.000, 0.000, 0.791], [0.375, 0.375, 0.998], [0.625, 0.625, 0.002], [0.500, 0.500, 0.000], [0.151, 0.151, 0.253], [0.151, 0.151, 0.751], [0.500, 0.500, 0.500], [0.849, 0.849, 0.249], [0.849, 0.849, 0.747]]}



# 3
{"formula": "Ho4Si2I5", "functional": "PBE", "state": "relaxed", "e_form_raw_mev_per_atom": -874, "dos_ef_per_ev_fu": 1.70, "final_energy_ev_per_atom": -4.2288, "density_g_cm3": 4.835, "lattice_angstrom": [[-2.057, 4.218, 13.364], [2.057, -4.218, 13.364], [2.057, 4.218, -13.364]], "species": ["Ho", "Ho", "Ho", "Ho", "Si", "Si", "I", "I", "I", "I", "I"], "frac_coords": [[0.141, 0.141, 0.000], [0.199, 0.500, 0.699], [0.801, 0.500, 0.301], [0.859, 0.859, 0.000], [0.043, 0.043, 0.000], [0.957, 0.957, 0.000], [0.081, 0.332, 0.749], [0.416, 0.668, 0.749], [0.500, 0.000, 0.500], [0.584, 0.332, 0.251], [0.919, 0.668, 0.251]]}



# 4
{"formula": "Ho7SiI12", "functional": "PBE", "state": "relaxed", "e_form_raw_mev_per_atom": -1224, "dos_ef_per_ev_fu": 11.97, "final_energy_ev_per_atom": -4.0270, "density_g_cm3": 6.124, "lattice_angstrom": [[7.815, 4.512, 3.467], [-7.815, 4.512, 3.467], [0.000, -9.024, 3.467]], "species": ["Ho", "Ho", "Ho", "Ho", "Ho", "Ho", "Ho", "Si", "I", "I", "I", "I", "I", "I", "I", "I", "I", "I", "I", "I"], "frac_coords": [[0.000, 0.000, 0.000], [0.193, 0.399, 0.469], [0.399, 0.469, 0.193], [0.469, 0.193, 0.399], [0.531, 0.807, 0.601], [0.601, 0.531, 0.807], [0.807, 0.601, 0.531], [0.500, 0.500, 0.500], [0.033, 0.345, 0.113], [0.113, 0.033, 0.345], [0.186, 0.728, 0.578], [0.272, 0.422, 0.814], [0.345, 0.113, 0.033], [0.422, 0.814, 0.272], [0.578, 0.186, 0.728], [0.655, 0.887, 0.967], [0.728, 0.578, 0.186], [0.814, 0.272, 0.422], [0.887, 0.967, 0.655], [0.967, 0.655, 0.887]]}



# 5
{"formula": "SmHoI2", "functional": "PBE", "state": "relaxed", "de_polymorph_mev_per_atom": 59, "e_form_raw_mev_per_atom": -679, "dos_ef_per_ev_fu": 2.57, "final_energy_ev_per_atom": -3.7782, "density_g_cm3": 6.782, "lattice_angstrom": [[3.875, 0.000, 0.000], [-1.938, 3.356, 0.000], [0.000, 0.000, 32.138]], "species": ["Sm", "Sm", "Sm", "Ho", "Ho", "Ho", "I", "I", "I", "I", "I", "I"], "frac_coords": [[0.000, 0.000, 0.000], [0.333, 0.667, 0.667], [0.667, 0.333, 0.333], [0.000, 0.000, 0.500], [0.333, 0.667, 0.167], [0.667, 0.333, 0.833], [0.000, 0.000, 0.404], [0.000, 0.000, 0.596], [0.333, 0.667, 0.071], [0.333, 0.667, 0.263], [0.667, 0.333, 0.737], [0.667, 0.333, 0.929]]}



# 6
{"formula": "SmHoI2", "functional": "PBE", "state": "relaxed", "de_polymorph_mev_per_atom": 0, "e_form_raw_mev_per_atom": -738, "dos_ef_per_ev_fu": 1.61, "final_energy_ev_per_atom": -3.8372, "density_g_cm3": 7.804, "lattice_angstrom": [[3.816, 0.000, 0.000], [-1.908, 3.305, 0.000], [0.000, 0.000, 28.809]], "species": ["Sm", "Sm", "Sm", "Ho", "Ho", "Ho", "I", "I", "I", "I", "I", "I"], "frac_coords": [[0.000, 0.000, 0.000], [0.333, 0.667, 0.667], [0.667, 0.333, 0.333], [0.000, 0.000, 0.163], [0.333, 0.667, 0.829], [0.667, 0.333, 0.496], [0.000, 0.000, 0.416], [0.000, 0.000, 0.579], [0.333, 0.667, 0.083], [0.333, 0.667, 0.246], [0.667, 0.333, 0.750], [0.667, 0.333, 0.913]]}



# 7
{"formula": "SmHoI", "functional": "PBE", "state": "relaxed", "de_polymorph_mev_per_atom": 101, "e_form_raw_mev_per_atom": -422, "dos_ef_per_ev_fu": 3.93, "final_energy_ev_per_atom": -4.0373, "density_g_cm3": 7.644, "lattice_angstrom": [[3.703, 0.000, 0.000], [0.000, 3.703, 0.000], [0.000, 0.000, 14.011]], "species": ["Sm", "Sm", "Ho", "Ho", "I", "I"], "frac_coords": [[0.000, 0.000, 0.000], [0.500, 0.500, 0.500], [0.000, 0.000, 0.670], [0.500, 0.500, 0.170], [0.000, 0.000, 0.331], [0.500, 0.500, 0.831]]}



# 8
{"formula": "SmHoI4", "functional": "PBE", "state": "relaxed", "e_form_raw_mev_per_atom": -1224, "dos_ef_per_ev_fu": 3.38, "final_energy_ev_per_atom": -3.8071, "density_g_cm3": 5.684, "lattice_angstrom": [[7.212, 0.000, 0.000], [0.000, 4.151, 0.000], [-2.341, 0.000, 8.031]], "species": ["Sm", "Ho", "I", "I", "I", "I"], "frac_coords": [[0.000, 0.000, 0.000], [0.500, 0.500, 0.000], [0.256, 0.500, 0.249], [0.261, 0.000, 0.756], [0.739, 0.000, 0.244], [0.744, 0.500, 0.751]]}



| no. | M_tot (μB per formula unit) |
| --- | --- |
| 1 | 0.0 |
| 2 | 0.0 |
| 3 | 0.0 |
| 4 | 0.0 |
| 5 | 0.0 |
| 6 | 0.0 |
| 7 | 0.0 |
| 8 | 0.0 |